The following is a DFT calculation (PBE) of a relaxed structure of La2Pm2Pr15.

Geometry as POSCAR:
```
La2Pm2Pr15
1.0
-3.0486 -6.3249 -5.7301
3.8146 -7.4279 3.5223
-6.9478 -3.3560 4.7536
Pm Pr La
2 15 2
direct
0.9094 0.9094 0.9094
0.0906 0.0906 0.0906
0.0000 0.2964 0.7036
0.3722 0.3722 0.8479
0.1521 0.6278 0.6278
0.2964 0.0000 0.7036
0.3722 0.8479 0.3722
0.8479 0.3722 0.3722
0.6278 0.6278 0.1521
0.5000 0.0000 0.0000
0.7036 0.0000 0.2964
0.0000 0.5000 0.0000
0.6278 0.1521 0.6278
0.0000 0.7036 0.2964
0.0000 0.0000 0.5000
0.2964 0.7036 0.0000
0.7036 0.2964 0.0000
0.6775 0.6775 0.6775
0.3225 0.3225 0.3225
```

Summary:
DOS at the Fermi energy (states/eV/atom): 1.644
SG: R-3m, No. 166
ΔH_f (0 K) (eV/f.u.): 4.3

---

The following is a DFT calculation (PBE) of a relaxed structure of NdGd2Ir.

Geometry as POSCAR:
```
NdGd2Ir
1.0
3.5316 0.0000 0.0000
0.0000 3.5316 0.0000
0.0000 0.0000 8.9460
Gd Ir Nd
2 1 1
direct
0.0000 0.0000 0.1825
0.0000 0.0000 0.8175
0.5000 0.5000 0.0000
0.5000 0.5000 0.5000
```

Summary:
DOS at the Fermi energy (states/eV/atom): 1.271
SG: P4/mmm, No. 123
E above lowest polymorph (kJ/mol of atoms): 0.0
ΔH_f (0 K) (eV/f.u.): -1.5

---

The following is a DFT calculation (PBE) of a relaxed structure of TbNdTeP.

Geometry as POSCAR:
```
TbNdTeP
1.0
-1.0003 3.1770 2.4835
-1.9401 -0.4798 -3.6429
-3.8095 -6.1331 2.8370
Tb P Nd Te
1 1 1 1
direct
0.1092 0.9525 0.0771
0.3113 0.5535 0.8801
0.4950 0.1454 0.6557
0.9624 0.3793 0.3568
```

Summary:
DOS at the Fermi energy (states/eV/atom): 0.715
E_form (uncorrected) (eV/atom): -1.55
SG: R3m, No. 160

---

The following is a DFT calculation (PBE) of a relaxed structure of Y2CrFe.

Geometry as POSCAR:
```
Y2CrFe
1.0
-1.6352 -0.1567 -3.0425
2.8705 -1.2358 -1.4792
-2.0707 -6.5455 1.4500
Fe Cr Y
1 1 2
direct
0.5000 0.5000 0.7500
0.5000 0.5000 0.2500
0.0000 0.0000 0.5134
0.0000 0.0000 0.9866
```

Summary:
DOS at the Fermi energy (states/eV/atom): 1.243
SG: P4/mmm, No. 123
E above lowest polymorph (kJ/mol of atoms): 22.0
ΔH_f (0 K) (eV/f.u.): 1.2

---

The following is a DFT calculation (PBE) of a relaxed structure of Tb9Pr2In.

Geometry as POSCAR:
```
Tb9Pr2In
1.0
-3.2141 2.1897 -3.1225
-3.2733 0.5115 3.7281
5.9770 13.5969 3.3825
Tb Pr In
9 2 1
direct
0.5000 0.5000 0.0000
0.5000 0.0000 0.1591
0.5000 0.0000 0.5000
0.5000 0.5000 0.3271
0.5000 0.5000 0.6729
0.0000 0.5000 0.5000
0.5000 0.0000 0.8409
0.0000 0.5000 0.8409
0.0000 0.5000 0.1591
0.0000 0.0000 0.6685
0.0000 0.0000 0.3315
0.0000 0.0000 0.0000
```

Summary:
DOS at the Fermi energy (states/eV/atom): 1.284
SG: P4/mmm, No. 123
ΔH_f (0 K) (eV/f.u.): -0.7

---

The following is a DFT calculation (PBE) of a relaxed structure of Na2Cd16In.

Geometry as POSCAR:
```
Na2Cd16In
1.0
7.7402 0.0380 0.9149
0.8176 7.6970 0.9149
0.0420 0.0380 7.7940
Cd Na In
16 2 1
direct
0.8390 0.3577 0.3577
0.0035 0.4951 0.0035
0.6966 0.9994 0.3047
0.9994 0.3047 0.6966
0.6966 0.3047 0.9994
0.1603 0.6427 0.6427
0.3047 0.6966 0.9994
0.3577 0.3577 0.8390
0.9994 0.6966 0.3047
0.3577 0.8390 0.3577
0.4951 0.0035 0.0035
0.1021 0.1021 0.1021
0.0035 0.0035 0.4951
0.3047 0.9994 0.6966
0.6427 0.1603 0.6427
0.6427 0.6427 0.1603
0.3394 0.3394 0.3394
0.6583 0.6583 0.6583
0.8969 0.8969 0.8969
```

Summary:
DOS at the Fermi energy (states/eV/atom): 0.267
SG: R3m, No. 160
ΔH_f (0 K) (eV/f.u.): -0.6

---

The following is a DFT calculation (PBE) of a relaxed structure of TbLuZnCd.

Geometry as POSCAR:
```
TbLuZnCd
1.0
5.1412 0.0000 0.0000
2.5706 4.4524 0.0000
2.5706 1.4841 4.1978
Lu Cd Tb Zn
1 1 1 1
direct
0.0000 0.0000 0.0000
0.7500 0.7500 0.7500
0.5000 0.5000 0.5000
0.2500 0.2500 0.2500
```

Summary:
DOS at the Fermi energy (states/eV/atom): 0.845
SG: F-43m, No. 216
ΔH_f (0 K) (eV/f.u.): -1.2

---

The following is a DFT calculation (PBE) of a relaxed structure of Ac3In2AgHg6.

Geometry as POSCAR:
```
Ac3In2AgHg6
1.0
6.5823 0.0000 0.0000
-3.2911 5.7004 0.0000
0.0000 0.0000 9.3939
Hg Ac In Ag
6 3 2 1
direct
0.3532 0.1766 0.7219
0.6468 0.8234 0.2781
0.1766 0.3532 0.2781
0.1766 0.8234 0.2781
0.8234 0.6468 0.7219
0.8234 0.1766 0.7219
0.6667 0.3333 0.3833
0.0000 0.0000 0.0000
0.3333 0.6667 0.6167
0.6667 0.3333 0.0052
0.3333 0.6667 0.9948
0.0000 0.0000 0.5000
```

Summary:
DOS at the Fermi energy (states/eV/atom): 0.733
SG: P-3m1, No. 164
ΔH_f (0 K) (eV/f.u.): -3.1

---

The following is a DFT calculation (PBE) of a relaxed structure of TiIrRu2W.

Geometry as POSCAR:
```
TiIrRu2W
1.0
-2.6138 3.8137 0.3255
-2.5531 -2.0233 3.2043
2.8184 1.6511 3.2882
Ir W Ru Ti
1 1 2 1
direct
0.0000 0.0000 0.0000
0.5000 0.5000 0.5000
0.0000 0.0000 0.5000
0.5000 0.0000 0.0000
0.0000 0.5000 0.0000
```

Summary:
DOS at the Fermi energy (states/eV/atom): 1.659
SG: P4/mmm, No. 123
ΔH_f (0 K) (eV/f.u.): 8.3

---

The following is a DFT calculation (PBE) of a relaxed structure of Ti2VTe4.

Geometry as POSCAR:
```
Ti2VTe4
1.0
7.4474 0.0093 -0.0233
6.4551 3.7141 -0.0233
3.1058 0.8318 6.1069
Te V Ti
4 1 2
direct
0.8925 0.8925 0.4474
0.3668 0.3668 0.9661
0.1075 0.1075 0.5526
0.6332 0.6332 0.0339
0.0000 0.0000 0.0000
0.7486 0.7486 0.2951
0.2514 0.2514 0.7049
```

Summary:
DOS at the Fermi energy (states/eV/atom): 0.727
E_form (uncorrected) (eV/atom): -0.60
SG: C2/m, No. 12
E above lowest polymorph (kJ/mol of atoms): 0.0

---

The following is a DFT calculation (PBE) of a relaxed structure of Pm15Y4Mg.

Geometry as POSCAR:
```
Pm15Y4Mg
1.0
5.1060 0.0000 0.0000
0.0000 5.1060 0.0000
0.0000 0.0000 25.6390
Pm Mg Y
15 1 4
direct
0.5000 0.0000 0.0977
0.5000 0.0000 0.2986
0.5000 0.5000 0.6010
0.0000 0.5000 0.7014
0.0000 0.5000 0.5000
0.5000 0.5000 0.1968
0.5000 0.5000 0.0000
0.0000 0.5000 0.0977
0.5000 0.0000 0.5000
0.5000 0.5000 0.8032
0.0000 0.5000 0.9023
0.5000 0.5000 0.3990
0.0000 0.5000 0.2986
0.5000 0.0000 0.7014
0.5000 0.0000 0.9023
0.0000 0.0000 0.0000
0.0000 0.0000 0.8024
0.0000 0.0000 0.6006
0.0000 0.0000 0.1976
0.0000 0.0000 0.3994
```

Summary:
DOS at the Fermi energy (states/eV/atom): 1.413
SG: P4/mmm, No. 123
ΔH_f (0 K) (eV/f.u.): 0.2

---

The following is a DFT calculation (PBE) of a relaxed structure of Li6PmHg2.

Geometry as POSCAR:
```
Li6PmHg2
1.0
4.1296 0.0000 0.0000
0.0000 4.1296 0.0000
0.0000 0.0000 11.2876
Hg Li Pm
2 6 1
direct
0.5000 0.5000 0.8624
0.5000 0.5000 0.1376
0.5000 0.0000 0.7035
0.0000 0.5000 0.2965
0.5000 0.5000 0.5000
0.5000 0.0000 0.2965
0.0000 0.5000 0.7035
0.0000 0.0000 0.5000
0.0000 0.0000 0.0000
```

Summary:
DOS at the Fermi energy (states/eV/atom): 0.448
SG: P4/mmm, No. 123
ΔH_f (0 K) (eV/f.u.): -1.7

---

The following is a DFT calculation (PBE) of a relaxed structure of BaMgSN2.

Geometry as POSCAR:
```
BaMgSN2
1.0
-0.0624 -4.4209 -0.3612
4.1329 0.0732 -1.6103
1.8178 -0.4054 4.6471
Ba Mg S N
1 1 1 2
direct
0.5000 0.5000 0.5000
0.0000 0.0000 0.0000
0.0000 0.0000 0.5000
0.0000 0.5000 0.0000
0.5000 0.0000 0.0000
```

Summary:
DOS at the Fermi energy (states/eV/atom): 0.362
E_form (uncorrected) (eV/atom): 0.17
SG: P4/mmm, No. 123
E above lowest polymorph (kJ/mol of atoms): 0.0

---

The following is a DFT calculation (PBE) of a relaxed structure of Pm2Mg12Cd5.

Geometry as POSCAR:
```
Pm2Mg12Cd5
1.0
-3.4809 6.3007 2.7387
-5.5065 0.5476 -5.3567
-5.6069 -3.5393 3.9183
Mg Cd Pm
12 5 2
direct
0.6973 0.3027 0.0000
0.0000 0.3027 0.6973
0.6973 0.0000 0.3027
0.6494 0.1587 0.6494
0.3506 0.8413 0.3506
0.6494 0.6494 0.1587
0.3027 0.6973 0.0000
0.3506 0.3506 0.8413
0.1587 0.6494 0.6494
0.0000 0.6973 0.3027
0.8413 0.3506 0.3506
0.3027 0.0000 0.6973
0.0977 0.0977 0.0977
0.5000 0.0000 0.0000
0.0000 0.5000 0.0000
0.0000 0.0000 0.5000
0.9023 0.9023 0.9023
0.3287 0.3287 0.3287
0.6713 0.6713 0.6713
```

Summary:
DOS at the Fermi energy (states/eV/atom): 0.367
SG: R-3m, No. 166
ΔH_f (0 K) (eV/f.u.): -2.5

---

The following is a DFT calculation (PBE) of a relaxed structure of BaHf2Cr.

Geometry as POSCAR:
```
BaHf2Cr
1.0
-4.8171 0.9239 1.0350
-2.3028 3.9325 -2.0885
-3.5017 -0.7216 -3.5138
Hf Cr Ba
2 1 1
direct
0.7500 0.7500 0.7500
0.2500 0.2500 0.2500
0.0000 0.0000 0.0000
0.5000 0.5000 0.5000
```

Summary:
DOS at the Fermi energy (states/eV/atom): 2.532
SG: Fm-3m, No. 225
E above lowest polymorph (kJ/mol of atoms): 0.0
ΔH_f (0 K) (eV/f.u.): 4.4

---

The following is a DFT calculation (PBE) of a relaxed structure of Sr2TaTiV.

Geometry as POSCAR:
```
Sr2TaTiV
1.0
5.9614 0.0000 0.0000
0.0000 4.6389 0.0000
0.0000 0.0000 5.9614
Ti Sr Ta V
1 2 1 1
direct
0.0000 0.0000 0.0000
0.5000 0.0000 0.0000
0.0000 0.0000 0.5000
0.0000 0.5000 0.0000
0.5000 0.5000 0.5000
```

Summary:
DOS at the Fermi energy (states/eV/atom): 1.007
SG: P4/mmm, No. 123
ΔH_f (0 K) (eV/f.u.): 7.4

---

The following is a DFT calculation (PBE) of a relaxed structure of CrNiOs2S.

Geometry as POSCAR:
```
CrNiOs2S
1.0
4.4952 0.0000 0.0000
0.0000 4.1471 0.0000
0.0000 0.0000 4.4952
Os Ni S Cr
2 1 1 1
direct
0.5000 0.0000 0.0000
0.0000 0.0000 0.5000
0.0000 0.0000 0.0000
0.5000 0.5000 0.5000
0.0000 0.5000 0.0000
```

Summary:
DOS at the Fermi energy (states/eV/atom): 2.021
E_form (uncorrected) (eV/atom): 2.01
SG: P4/mmm, No. 123

---

The following is a DFT calculation (PBE) of a relaxed structure of LiCu2Au5.

Geometry as POSCAR:
```
LiCu2Au5
1.0
6.9522 0.0000 0.0000
0.0000 6.9522 0.0000
-3.4761 -3.4761 5.4210
Au Cu Li
10 4 2
direct
0.3098 0.8098 0.3142
0.1902 0.9956 0.6858
0.5044 0.3098 0.3142
0.8098 0.0044 0.3142
0.0044 0.5044 0.3142
0.4956 0.6902 0.6858
0.6902 0.1902 0.6858
0.0000 0.0000 0.0000
0.5000 0.5000 0.0000
0.9956 0.4956 0.6858
0.1419 0.3581 0.0000
0.6419 0.1419 0.0000
0.8581 0.6419 0.0000
0.3581 0.8581 0.0000
0.7500 0.7500 0.5000
0.2500 0.2500 0.5000
```

Summary:
DOS at the Fermi energy (states/eV/atom): 0.275
SG: I4/mcm, No. 140
E above lowest polymorph (kJ/mol of atoms): 2.6
ΔH_f (0 K) (eV/f.u.): -1.0

---

The following is a DFT calculation (PBE) of a relaxed structure of CoRe2Ni.

Geometry as POSCAR:
```
CoRe2Ni
1.0
-0.7953 3.2688 -2.5599
1.3353 -1.1858 -1.9289
-3.8570 -2.0445 -1.4124
Co Ni Re
1 1 2
direct
0.0000 0.6253 0.4706
0.5000 0.6244 0.7788
0.5000 0.1251 0.2945
0.0000 0.1251 0.9561
```

Summary:
DOS at the Fermi energy (states/eV/atom): 0.733
SG: Pmm2, No. 25
E above lowest polymorph (kJ/mol of atoms): 0.0
ΔH_f (0 K) (eV/f.u.): -0.2

---

The following is a DFT calculation (PBE) of a relaxed structure of Nd6Tm3Th.

Geometry as POSCAR:
```
Nd6Tm3Th
1.0
-3.2544 1.4829 -0.6175
-2.7618 -5.1322 2.2084
2.5002 8.4299 28.3967
Nd Th Tm
12 2 6
direct
0.4022 0.8711 0.9013
0.0989 0.6370 0.0992
0.2004 0.2655 0.2020
0.2974 0.8992 0.2990
0.7996 0.7345 0.7980
0.5978 0.1289 0.0987
0.0975 0.3092 0.5986
0.7026 0.1008 0.7010
0.5979 0.7998 0.5988
0.9011 0.3630 0.9008
0.4021 0.2002 0.4012
0.9025 0.6908 0.4014
0.0000 0.0000 0.0000
0.5000 0.5000 0.5000
0.5000 0.5000 0.0000
0.7007 0.7640 0.2016
0.7983 0.3994 0.2995
0.0000 0.0000 0.5000
0.2993 0.2360 0.7984
0.2017 0.6006 0.7005
```

Summary:
DOS at the Fermi energy (states/eV/atom): 1.419
SG: P-1, No. 2
ΔH_f (0 K) (eV/f.u.): 0.2

---

The following is a DFT calculation (PBE) of a relaxed structure of CrCu2Ir.

Geometry as POSCAR:
```
CrCu2Ir
1.0
-2.5774 0.2065 -0.1532
0.9217 -1.0027 2.2032
0.4313 7.9211 3.4245
Cu Ir Cr
2 1 1
direct
0.0000 0.0000 0.9998
0.5000 0.5000 0.2412
0.0000 0.0000 0.5078
0.5000 0.5000 0.7512
```

Summary:
DOS at the Fermi energy (states/eV/atom): 0.891
SG: Cmm2, No. 35
ΔH_f (0 K) (eV/f.u.): 0.8

---

The following is a DFT calculation (PBE) of a relaxed structure of Zr3Zn2Rh3.

Geometry as POSCAR:
```
Zr3Zn2Rh3
1.0
-3.6818 -0.7582 3.6981
-5.4019 3.0921 -4.7441
1.4137 -7.6955 -0.1703
Rh Zr Zn
6 6 4
direct
0.2500 0.3946 0.0000
0.7500 0.0000 0.6054
0.7500 0.3946 0.3946
0.2500 0.6054 0.6054
0.7500 0.6054 0.0000
0.2500 0.0000 0.3946
0.2500 0.2538 0.2538
0.7500 0.0000 0.2538
0.2500 0.0000 0.7462
0.2500 0.7462 0.0000
0.7500 0.7462 0.7462
0.7500 0.2538 0.0000
0.5000 0.6667 0.3333
0.5000 0.3333 0.6667
0.0000 0.3333 0.6667
0.0000 0.6667 0.3333
```

Summary:
DOS at the Fermi energy (states/eV/atom): 0.715
SG: P6_3/mcm, No. 193
ΔH_f (0 K) (eV/f.u.): -4.9

---

The following is a DFT calculation (PBE) of a relaxed structure of SmThAsSe.

Geometry as POSCAR:
```
SmThAsSe
1.0
5.1421 0.0000 0.0000
2.5711 4.4532 0.0000
2.5711 1.4844 4.1964
Sm Th Se As
1 1 1 1
direct
0.6941 0.6941 0.9178
0.1941 0.1941 0.4177
0.9441 0.9441 0.1676
0.4441 0.4441 0.6677
```

Summary:
DOS at the Fermi energy (states/eV/atom): 0.763
E_form (uncorrected) (eV/atom): -1.33
SG: F-43m, No. 216